(1)
A plane-wave DFT calculation with PBE was carried out for an optimized crystal structure of Mg6In3Au.

It has space group P2_1/m (No. 11), with a = 9.7427 Å, b = 4.4819 Å, c = 10.1884 Å, α = 90.00°, β = 93.98° and γ = 90.00°. The inequivalent atoms are Mg at (0.0469, 0.2500, 0.4006), Mg at (0.1495, 0.7500, 0.1994), Mg at (0.2912, 0.2500, 0.0111), Mg at (0.3454, 0.2500, 0.3074), Mg at (0.3917, 0.7500, 0.8400), Mg at (0.4498, 0.2500, 0.6084), In at (0.0538, 0.7500, 0.9037), In at (0.1616, 0.2500, 0.7157), In at (0.2556, 0.7500, 0.5038) and Au at (0.4252, 0.7500, 0.1357).

The calculation puts the density at 5143 kg/m3. The energy of formation is -0.19 eV/atom.


(2)
A plane-wave DFT calculation with PBE was carried out for an optimized crystal structure of Mg5In2Au2.

It has space group Cmce (No. 64), with a = 14.8933 Å, b = 7.3841 Å, c = 7.3697 Å, α = 90.00°, β = 90.00° and γ = 90.00°. The inequivalent atoms are Mg at (0.0000, 0.0000, 0.0000), Mg at (0.1186, 0.1620, 0.3365), In at (0.2154, 0.0000, 0.0000) and Au at (0.0000, 0.1388, 0.6397).

The calculation puts the density at 6106 kg/m3. The energy of formation is -0.29 eV/atom.


(3)
A plane-wave DFT calculation with PBE was carried out for an optimized crystal structure of MgIn3Au12.

It has space group P4/mmm (No. 123), with a = 4.2092 Å, b = 4.2092 Å, c = 16.8740 Å, α = 90.00°, β = 90.00° and γ = 90.00°. The inequivalent atoms are Mg at (0.0000, 0.0000, 0.0000), In at (0.0000, 0.0000, 0.2470), In at (0.0000, 0.0000, 0.5000), Au at (0.0000, 0.5000, 0.1196), Au at (0.0000, 0.5000, 0.3733), Au at (0.5000, 0.5000, 0.0000), Au at (0.5000, 0.5000, 0.2467) and Au at (0.5000, 0.5000, 0.5000).

The calculation puts the density at 15176 kg/m3. The energy of formation is -0.17 eV/atom.


(4)
A plane-wave DFT calculation with PBE was carried out for an optimized crystal structure of Mg2In5Au12.

It has space group C2/m (No. 12), with a = 11.9594 Å, b = 9.0085 Å, c = 7.5637 Å, α = 90.00°, β = 107.60° and γ = 90.00°. The inequivalent atoms are Mg at (0.0000, 0.2476, 0.0000), In at (0.0000, 0.5000, 0.5000), In at (0.1770, 0.0000, 0.5812), In at (0.2042, 0.0000, 0.1195), Au at (0.0044, 0.0000, 0.7763), Au at (0.1303, 0.2737, 0.7565), Au at (0.1316, 0.5000, 0.0751) and Au at (0.1387, 0.2745, 0.3599).

The calculation puts the density at 12768 kg/m3. The energy of formation is -0.21 eV/atom.


(5)
A plane-wave DFT calculation with PBE was carried out for an optimized crystal structure of Mg3InAu2.

It has space group Pmc2_1 (No. 26), with a = 4.2774 Å, b = 8.5519 Å, c = 6.7468 Å, α = 90.00°, β = 90.00° and γ = 90.00°. The inequivalent atoms are Mg at (0.0000, 0.0664, 0.0000), Mg at (0.0000, 0.3088, 0.3880), Mg at (0.5000, 0.1900, 0.6889), In at (0.5000, 0.4221, 0.0833), Au at (0.0000, 0.3692, 0.7919) and Au at (0.5000, 0.1164, 0.2885).

The calculation puts the density at 7827 kg/m3. The energy of formation is -0.43 eV/atom.


(6)
A plane-wave DFT calculation with PBE was carried out for an optimized crystal structure of Mg4InAu.

It has space group C2/m (No. 12), with a = 6.4110 Å, b = 6.9366 Å, c = 6.5793 Å, α = 90.00°, β = 97.04° and γ = 90.00°. The inequivalent atoms are Mg at (0.2440, 0.2288, 0.2320), In at (0.0000, 0.0000, 0.5000) and Au at (0.0000, 0.5000, 0.0000).

The calculation puts the density at 4678 kg/m3. The energy of formation is -0.20 eV/atom. The energy above the most stable polymorph in this dataset comes out at 24 meV per atom.


(7)
A plane-wave DFT calculation with PBE was carried out for an optimized crystal structure of MgIn2Au.

It has space group P4/mmm (No. 123), with a = 3.3094 Å, b = 3.3094 Å, c = 8.1178 Å, α = 90.00°, β = 90.00° and γ = 90.00°. The inequivalent atoms are Mg at (0.0000, 0.0000, 0.0000), In at (0.5000, 0.5000, 0.2661) and Au at (0.0000, 0.0000, 0.5000).

The calculation puts the density at 8422 kg/m3. The energy of formation is -0.11 eV/atom.


(8)
A plane-wave DFT calculation with PBE was carried out for an optimized crystal structure of MgIn2Au.

It has space group I-42d (No. 122), with a = 8.8512 Å, b = 8.8512 Å, c = 5.3578 Å, α = 90.00°, β = 90.00° and γ = 90.00°. The inequivalent atoms are Mg at (0.0000, 0.0000, 0.0000), In at (0.1765, 0.2500, 0.6250) and Au at (0.0000, 0.0000, 0.5000).

The calculation puts the density at 7135 kg/m3. The energy of formation is -0.11 eV/atom.